Entry 1:
The following is a PBE calculation of a relaxed Ca2Cu5Sn4 crystal, from the Alexandria database.

Unit cell a=5.6508 b=10.2776 c=16.2480 alpha=90.00 beta=90.00 gamma=90.00
With the nearest neighbours (Å) after each atom.
Space group Fmmm (No. 69)
Inequivalent atoms, fractional coordinates:
Ca  0.0000  0.0000  0.1474 (multiplicity 8)  6 Sn 3.27-3.54, 4 Cu 3.37
Cu  0.0000  0.0000  0.5000 (multiplicity 4)  4 Sn 2.63, 4 Cu 2.93
Cu  0.2500  0.2500  0.0000 (multiplicity 8)  4 Sn 2.69, 4 Cu 2.83-2.93
Cu  0.2500  0.2500  0.2500 (multiplicity 8)  4 Sn 2.62, 2 Cu 2.83
Sn  0.0000  0.1566  0.3721 (multiplicity 16)  5 Cu 2.62-2.69

=====

Entry 2:
The following is a PBE calculation of a relaxed CaCu2Sn2 crystal, from the Alexandria database.

Unit cell a=7.8366 b=7.8366 c=3.3741 alpha=90.00 beta=90.00 gamma=90.00
With the nearest neighbours (Å) after each atom.
Space group P4/mbm (No. 127)
Inequivalent atoms, fractional coordinates:
Ca  0.0000  0.0000  0.0000 (multiplicity 2)  4 Cu 3.15, 8 Sn 3.35, 2 Ca 3.37
Cu  0.1152  0.3848  0.0000 (multiplicity 4)  1 Cu 2.55
Sn  0.1744  0.6744  0.5000 (multiplicity 4)  6 Cu 2.87-2.88

=====

Entry 3:
The following is a PBE calculation of a relaxed CaCu2Sn7 crystal, from the Alexandria database.

Unit cell a=8.8164 b=14.3587 c=4.4325 alpha=90.00 beta=90.00 gamma=90.00
With the nearest neighbours (Å) after each atom.
Space group Cmmm (No. 65)
Inequivalent atoms, fractional coordinates:
Ca  0.0000  0.0000  0.0000 (multiplicity 2)  10 Sn 3.24-3.46
Cu  0.0000  0.3197  0.5000 (multiplicity 4)  5 Sn 2.59-2.66
Sn  0.0000  0.2255  0.0000 (multiplicity 4)  2 Cu 2.60
Sn  0.0000  0.5000  0.5000 (multiplicity 2)  2 Cu 2.59
Sn  0.2075  0.1341  0.5000 (multiplicity 8)  1 Cu 2.66

=====

Entry 4:
The following is a PBE calculation of a relaxed CaCuSn3 crystal, from the Alexandria database.

Unit cell a=5.7899 b=5.7899 c=5.7899 alpha=90.00 beta=90.00 gamma=90.00
With the nearest neighbours (Å) after each atom.
Space group Pm-3m (No. 221)
Inequivalent atoms, fractional coordinates:
Ca  0.0000  0.0000  0.0000 (multiplicity 1)  6 Sn 2.89
Cu  0.5000  0.5000  0.5000 (multiplicity 1)  12 Sn 4.09
Sn  0.0000  0.0000  0.5000 (multiplicity 3)  2 Ca 2.89

=====

Entry 5:
The following is a PBE calculation of a relaxed CaCu2Sn2 crystal, from the Alexandria database.

Unit cell a=4.2446 b=4.8540 c=5.9138 alpha=106.68 beta=110.43 gamma=90.05
With the nearest neighbours (Å) after each atom.
Space group P-1 (No. 2)
Inequivalent atoms, fractional coordinates:
Ca  0.0000  0.0000  0.0000 (multiplicity 1)  6 Cu 3.16-3.31, 4 Sn 3.43-3.47
Cu  0.2620  0.8658  0.5237 (multiplicity 2)  2 Cu 2.54-2.55, 4 Sn 2.63-2.69
Sn  0.3543  0.4329  0.7166 (multiplicity 2)  4 Cu 2.63-2.69

=====

Entry 6:
The following is a PBE calculation of a relaxed CaTbCuSn crystal, from the Alexandria database.

Unit cell a=7.3592 b=7.3592 c=7.3592 alpha=90.00 beta=90.00 gamma=90.00
With the nearest neighbours (Å) after each atom.
Space group F-43m (No. 216)
Inequivalent atoms, fractional coordinates:
Ca  0.0000  0.0000  0.0000 (multiplicity 4)  4 Cu 3.19, 4 Sn 3.19
Tb  0.0000  0.0000  0.5000 (multiplicity 4)  4 Sn 3.19, 4 Cu 3.19
Cu  0.2500  0.2500  0.2500 (multiplicity 4)  4 Tb 3.19, 4 Ca 3.19
Sn  0.2500  0.2500  0.7500 (multiplicity 4)  4 Ca 3.19, 4 Tb 3.19

=====

Entry 7:
The following is a PBE calculation of a relaxed CaTbCu2Sn2 crystal, from the Alexandria database.

Unit cell a=4.5724 b=4.5724 c=7.5803 alpha=90.00 beta=90.00 gamma=120.00
With the nearest neighbours (Å) after each atom.
Space group P-3m1 (No. 164)
Inequivalent atoms, fractional coordinates:
Ca  0.0000  0.0000  0.0000 (multiplicity 1)  6 Sn 3.33, 6 Cu 3.41
Tb  0.0000  0.0000  0.5000 (multiplicity 1)  6 Cu 3.10, 6 Sn 3.17
Cu  0.3333  0.6667  0.7146 (multiplicity 2)  3 Sn 2.64
Sn  0.3333  0.6667  0.2674 (multiplicity 2)  3 Cu 2.64

=====

Entry 8:
The following is a PBE calculation of a relaxed CaThCu2Sn2 crystal, from the Alexandria database.

Unit cell a=4.5430 b=4.5430 c=8.0042 alpha=90.00 beta=90.00 gamma=120.00
With the nearest neighbours (Å) after each atom.
Space group P-3m1 (No. 164)
Inequivalent atoms, fractional coordinates:
Ca  0.0000  0.0000  0.0000 (multiplicity 1)  6 Sn 3.32, 6 Cu 3.36
Th  0.0000  0.0000  0.5000 (multiplicity 1)  6 Cu 3.24, 6 Sn 3.28
Cu  0.3333  0.6667  0.2633 (multiplicity 2)  3 Sn 2.62
Sn  0.3333  0.6667  0.7458 (multiplicity 2)  3 Cu 2.62

=====

no.,E_form (eV/atom),E_tot (eV per atom)
1,-0.13,-3.810
2,-0.14,-3.777
3,0.04,-3.777
4,1.03,-2.588
5,-0.32,-3.964
6,-0.43,-4.109
7,-0.51,-4.315
8,-0.48,-4.749